# VRuIO2

A geometry-optimized VRuIO2 structure (PBE+U, the Alexandria database).

Its density of states at the Fermi level is 3.32 states/eV per cell. The total DFT energy (no corrections) comes out at -5.87 eV per atom.

The space group is P4/mmm (No. 123) and the conventional cell measures 3.753, 3.753 and 6.660 Å, with angles of 90.00, 90.00 and 90.00 degrees. The inequivalent atoms are V at (0.000, 0.000, 0.000), Ru at (0.500, 0.500, 0.500), I at (0.000, 0.000, 0.500) and O at (0.000, 0.500, 0.000).